First-principles (GGA-PBE) data for a relaxed structure of CuAs2Br, as listed in Alexandria via LeMat-Bulk.

The structure belongs to space group I-42d (No. 122); the cell edges are 5.951, 5.951 and 11.784 Å and the angles 90.00°, 90.00° and 90.00°. The asymmetric unit holds Cu at (0.000, 0.000, 0.000), As at (0.166, 0.250, 0.125) and Br at (0.000, 0.000, 0.500).

As for the raw formation energy: 417 meV/atom. As for the offset from the most stable computed form: 1.768 eV/f.u.

---

First-principles (GGA-PBE) data for a relaxed structure of ThNbPd, as listed in Alexandria via LeMat-Bulk.

The structure belongs to space group P4/mmm (No. 123); the cell edges are 3.207, 3.207 and 12.694 Å and the angles 90.00°, 90.00° and 90.00°. The asymmetric unit holds Th at (0.000, 0.000, 0.191), Nb at (0.000, 0.000, 0.500), Nb at (0.500, 0.500, 0.000) and Pd at (0.500, 0.500, 0.370).

The calculation puts the formation energy at -0.14 eV/f.u.